# 1
A plane-wave DFT calculation with GGA-PBE was carried out for crystalline SiSN at its relaxed geometry.

The value obtained for the distance to the lowest polymorph of the same formula is 345 meV per atom.

It has space group Pm (No. 6), with a = 2.865 Å, b = 3.374 Å, c = 5.499 Å, α = 90.00°, β = 93.43° and γ = 90.00°. Symmetry generates all atoms from Si at (0.000, 0.000, 0.000), S at (0.967, 0.500, 0.720) and N at (0.518, 0.000, 0.153).

# 2
A plane-wave DFT calculation with GGA-PBE was carried out for crystalline Pr4BI2Br at its relaxed geometry.

The calculated total energy is -37.4 eV/cell.

It has space group P2/m (No. 10), with a = 7.664 Å, b = 4.129 Å, c = 8.062 Å, α = 90.00°, β = 106.71° and γ = 90.00°. Symmetry generates all atoms from Pr at (0.193, 0.000, 0.185), Pr at (0.218, 0.500, 0.802), B at (0.000, 0.500, 0.000), I at (0.000, 0.000, 0.500), I at (0.500, 0.500, 0.500) and Br at (0.500, 0.000, 0.000).

# 3
A plane-wave DFT calculation with GGA-PBE was carried out for crystalline Sc2BiBIr at its relaxed geometry.

The calculated total energy is -28.4 eV/cell.

It has space group P4/mmm (No. 123), with a = 5.019 Å, b = 5.019 Å, c = 5.121 Å, α = 90.00°, β = 90.00° and γ = 90.00°. Symmetry generates all atoms from Sc at (0.000, 0.500, 0.000), Bi at (0.000, 0.000, 0.500), B at (0.500, 0.500, 0.500) and Ir at (0.000, 0.000, 0.000).

# 4
A plane-wave DFT calculation with GGA-PBE was carried out for crystalline SrTbEuMg at its relaxed geometry.

The calculated total energy is -70.7 eV/cell.

It has space group F-43m (No. 216), with a = 8.286 Å, b = 8.286 Å, c = 8.286 Å, α = 90.00°, β = 90.00° and γ = 90.00°. Symmetry generates all atoms from Sr at (0.000, 0.000, 0.000), Tb at (0.000, 0.000, 0.500), Eu at (0.250, 0.250, 0.250) and Mg at (0.250, 0.250, 0.750).

# 5
A plane-wave DFT calculation with GGA-PBE was carried out for crystalline ErFeNiGe3 at its relaxed geometry.

The calculated total energy is -134.6 eV/cell.

It has space group Cmcm (No. 63), with a = 6.213 Å, b = 12.512 Å, c = 5.728 Å, α = 90.00°, β = 90.00° and γ = 90.00°. Symmetry generates all atoms from Er at (0.000, 0.195, 0.250), Fe at (0.000, 0.032, 0.750), Ni at (0.000, 0.389, 0.750), Ge at (0.000, 0.213, 0.750) and Ge at (0.211, 0.500, 0.000).

# 6
A plane-wave DFT calculation with GGA-PBE was carried out for crystalline KFeHgGe2 at its relaxed geometry.

The calculated total energy is -19.0 eV/cell.

It has space group P4/mmm (No. 123), with a = 4.628 Å, b = 4.628 Å, c = 5.266 Å, α = 90.00°, β = 90.00° and γ = 90.00°. Symmetry generates all atoms from K at (0.000, 0.000, 0.000), Fe at (0.500, 0.500, 0.500), Hg at (0.500, 0.500, 0.000) and Ge at (0.000, 0.500, 0.500).